Entry 1:
First-principles (meta-GGA SCAN) data for Al3Ag5 at its PBEsol-relaxed geometry, as listed in Alexandria.

Formation enthalpy at 0 K: -0.08 eV per atom
Relative energy among the computed polymorphs: 35 meV/atom
Volume: 258.3 Å³/cell

Cell lengths 4.0534, 4.0534, 15.7240 Å; angles 90.00, 90.00, 90.00 degrees
Space group I4mm (No. 107)
One atom of each set of equivalent atoms:
Al1 0.0000 0.0000 0.0000 [2 per cell]
Al2 0.0000 0.5000 0.1294 [4 per cell]
Ag1 0.0000 0.0000 0.2488 [2 per cell]
Ag2 0.0000 0.0000 0.5143 [2 per cell]
Ag3 0.0000 0.0000 0.7488 [2 per cell]
Ag4 0.0000 0.5000 0.3824 [4 per cell]

***

Entry 2:
First-principles (meta-GGA SCAN) data for Al3Ag at its PBEsol-relaxed geometry, as listed in Alexandria.

Formation enthalpy at 0 K: -0.04 eV per atom
Volume: 195.2 Å³/cell

Cell lengths 2.9107, 2.9107, 26.6014 Å; angles 90.00, 90.00, 120.00 degrees
Space group R-3m (No. 166, hexagonal axes)
One atom of each set of equivalent atoms:
Al1 0.0000 0.0000 0.0000 [3 per cell]
Al2 0.0000 0.0000 0.2497 [6 per cell]
Ag1 0.0000 0.0000 0.5000 [3 per cell]

***

Entry 3:
First-principles (meta-GGA SCAN) data for AlAg at its PBEsol-relaxed geometry, as listed in Alexandria.

Formation enthalpy at 0 K: -0.01 eV per atom
Volume: 401.9 Å³/cell

Cell lengths 9.1378, 8.3013, 5.2988 Å; angles 90.00, 90.00, 90.00 degrees
Space group Pbcm (No. 57)
One atom of each set of equivalent atoms:
Al1 0.0906 0.1203 0.2500 [4 per cell]
Al2 0.3494 0.2500 0.0000 [4 per cell]
Al3 0.3970 0.6517 0.2500 [4 per cell]
Ag1 0.1355 0.7500 0.0000 [4 per cell]
Ag2 0.1668 0.0512 0.7500 [4 per cell]
Ag3 0.3476 0.5310 0.7500 [4 per cell]

***

Entry 4:
First-principles (meta-GGA SCAN) data for AlAg at its PBEsol-relaxed geometry, as listed in Alexandria.

Formation enthalpy at 0 K: -0.09 eV per atom
Volume: 258.7 Å³/cell

Cell lengths 6.0150, 7.9949, 5.3789 Å; angles 90.00, 90.00, 90.00 degrees
Space group Cmme (No. 67)
One atom of each set of equivalent atoms:
Al1 0.0000 0.2500 0.2351 [4 per cell]
Al2 0.2500 0.0000 0.5000 [4 per cell]
Ag1 0.0000 0.2500 0.7323 [4 per cell]
Ag2 0.2500 0.0000 0.0000 [4 per cell]

***

Entry 5:
First-principles (meta-GGA SCAN) data for AlAg at its PBEsol-relaxed geometry, as listed in Alexandria.

Formation enthalpy at 0 K: -0.05 eV per atom
Volume: 259.2 Å³/cell

Cell lengths 4.0063, 4.0287, 16.0566 Å; angles 90.00, 90.00, 90.00 degrees
Space group Imm2 (No. 44)
One atom of each set of equivalent atoms:
Al1 0.0000 0.0000 0.0000 [2 per cell]
Al2 0.0000 0.0000 0.2460 [2 per cell]
Al3 0.0000 0.0000 0.4997 [2 per cell]
Al4 0.0000 0.5000 0.3727 [2 per cell]
Ag1 0.0000 0.0000 0.7532 [2 per cell]
Ag2 0.0000 0.5000 0.1232 [2 per cell]
Ag3 0.0000 0.5000 0.6197 [2 per cell]
Ag4 0.0000 0.5000 0.8795 [2 per cell]

***

Entry 6:
First-principles (meta-GGA SCAN) data for Al2Ag3 at its PBEsol-relaxed geometry, as listed in Alexandria.

Formation enthalpy at 0 K: -0.08 eV per atom
Relative energy among the computed polymorphs: 13 meV/atom
Volume: 242.6 Å³/cell

Cell lengths 2.8998, 2.8998, 33.3170 Å; angles 90.00, 90.00, 120.00 degrees
Space group R-3m (No. 166, hexagonal axes)
One atom of each set of equivalent atoms:
Al1 0.0000 0.0000 0.1002 [6 per cell]
Ag1 0.0000 0.0000 0.2979 [6 per cell]
Ag2 0.0000 0.0000 0.5000 [3 per cell]

***

Entry 7:
First-principles (meta-GGA SCAN) data for Al5Ag3 at its PBEsol-relaxed geometry, as listed in Alexandria.

Formation enthalpy at 0 K: -0.05 eV per atom
Relative energy among the computed polymorphs: 21 meV/atom
Volume: 130.0 Å³/cell

Cell lengths 4.7932, 5.0066, 5.7934 Å; angles 90.48, 107.99, 99.92 degrees
Space group P-1 (No. 2)
One atom of each set of equivalent atoms:
Al1 0.0000 0.0000 0.0000 [1 per cell]
Al2 0.4941 0.7516 0.6248 [2 per cell]
Al3 0.4984 0.2516 0.8753 [2 per cell]
Ag1 0.0000 0.0000 0.5000 [1 per cell]
Ag2 0.0046 0.4968 0.2472 [2 per cell]

***

Entry 8:
First-principles (meta-GGA SCAN) data for Al3Ag5 at its PBEsol-relaxed geometry, as listed in Alexandria.

Formation enthalpy at 0 K: -0.09 eV per atom
Relative energy among the computed polymorphs: 23 meV/atom
Volume: 257.9 Å³/cell

Cell lengths 5.9738, 7.7272, 5.5870 Å; angles 90.00, 90.00, 90.00 degrees
Space group Cmm2 (No. 35)
One atom of each set of equivalent atoms:
Al1 0.0000 0.0000 0.0000 [2 per cell]
Al2 0.2500 0.2500 0.7184 [4 per cell]
Ag1 0.0000 0.0000 0.4986 [2 per cell]
Ag2 0.0000 0.5000 0.4772 [2 per cell]
Ag3 0.0000 0.5000 0.9650 [2 per cell]
Ag4 0.2500 0.2500 0.2163 [4 per cell]

***

Total energy for the records above, in order: -361.437 -164.393 -469.620 -314.380 -313.728 -330.079 -133.272 -361.629 eV/cell